--- A ---
Hg2AsP: relaxed, PBEsol.

The structure in POSCAR format:
```
Hg2AsP
1.0
3.717 -1.691 0.000
3.717 1.691 0.000
-0.812 0.000 7.106
Hg As P
2 1 1
direct
0.000 0.000 0.000 Hg
0.226 0.226 0.719 Hg
0.789 0.789 0.281 As
0.440 0.440 0.459 P
```

The symmetry is No. 8.

***

--- B ---
Hg2AsP: relaxed, PBEsol.

The structure in POSCAR format:
```
Hg2AsP
1.0
0.000 3.408 3.408
3.408 0.000 3.408
3.408 3.408 0.000
Hg As P
2 1 1
direct
0.250 0.250 0.250 Hg
0.750 0.750 0.750 Hg
0.000 0.000 0.000 As
0.500 0.500 0.500 P
```

The symmetry is No. 225.

***

A ends up most stable, edging out the next structure by 0.481 eV/atom.

***

--- A ---
HgAsP: relaxed, PBEsol.

The structure in POSCAR format:
```
HgAsP
1.0
3.413 0.000 0.000
-1.707 2.956 0.000
0.000 0.000 6.785
Hg As P
1 1 1
direct
0.000 0.000 0.000 Hg
0.333 0.667 0.419 As
0.667 0.333 0.614 P
```

The symmetry is No. 156.

***

--- B ---
HgAsP: relaxed, PBEsol.

The structure in POSCAR format:
```
HgAsP
1.0
0.000 3.188 3.188
3.188 0.000 3.188
3.188 3.188 0.000
Hg As P
1 1 1
direct
0.000 0.000 0.000 Hg
0.500 0.500 0.500 As
0.750 0.750 0.750 P
```

The symmetry is No. 216.

***

A ends up most stable, edging out the next structure by 0.367 eV/atom.

***

--- A ---
Hg2AsPb: relaxed, PBEsol.

The structure in POSCAR format:
```
Hg2AsPb
1.0
3.609 -2.101 0.000
3.609 2.101 0.000
-2.491 0.000 6.802
Hg As Pb
2 1 1
direct
0.000 0.000 0.000 Hg
0.749 0.749 0.247 Hg
0.260 0.260 0.778 As
0.516 0.516 0.551 Pb
```

The symmetry is No. 8.

***

--- B ---
Hg2AsPb: relaxed, PBEsol.

The structure in POSCAR format:
```
Hg2AsPb
1.0
2.426 -2.512 0.000
2.426 2.512 0.000
0.000 0.000 7.814
Hg As Pb
2 1 1
direct
0.000 0.000 0.000 Hg
0.500 0.500 0.240 Hg
0.500 0.500 0.771 As
0.000 0.000 0.536 Pb
```

The symmetry is No. 35.

***

A ends up most stable, edging out the next structure by 0.074 eV/atom.

***

--- A ---
Hg2AsPb: relaxed, PBEsol.

The structure in POSCAR format:
```
Hg2AsPb
1.0
4.190 0.000 0.000
0.000 4.319 0.000
0.000 0.000 5.276
Hg As Pb
2 1 1
direct
0.000 0.000 0.000 Hg
0.500 0.500 0.000 Hg
0.000 0.500 0.500 As
0.500 0.000 0.500 Pb
```

The symmetry is No. 47.

***

--- B ---
Hg2AsPb: relaxed, PBEsol.

The structure in POSCAR format:
```
Hg2AsPb
1.0
-1.926 2.082 6.163
1.926 -2.082 6.163
1.926 2.082 -6.163
Hg As Pb
2 1 1
direct
0.000 0.000 0.000 Hg
0.684 0.184 0.500 Hg
0.482 0.482 0.000 As
0.293 0.793 0.500 Pb
```

The symmetry is No. 44.

***

B ends up most stable, edging out the next structure by 0.042 eV/atom.

***

--- A ---
HgAsRu2: relaxed, PBEsol.

The structure in POSCAR format:
```
HgAsRu2
1.0
2.989 0.000 0.000
0.000 2.989 0.000
0.000 0.000 6.768
Hg As Ru
1 1 2
direct
0.000 0.000 0.000 Hg
0.000 0.000 0.500 As
0.500 0.500 0.293 Ru
0.500 0.500 0.707 Ru
```

The symmetry is No. 123.

***

--- B ---
HgAsRu2: relaxed, PBEsol.

The structure in POSCAR format:
```
HgAsRu2
1.0
0.000 3.117 3.117
3.117 0.000 3.117
3.117 3.117 0.000
Hg As Ru
1 1 2
direct
0.000 0.000 0.000 Hg
0.500 0.500 0.500 As
0.250 0.250 0.250 Ru
0.750 0.750 0.750 Ru
```

The symmetry is No. 225.

***

A ends up most stable, edging out the next structure by 0.223 eV/atom.

***

--- A ---
HgAsRu2: relaxed, PBEsol.

The structure in POSCAR format:
```
HgAsRu2
1.0
2.950 0.000 0.000
0.000 3.849 0.000
-1.463 0.000 5.517
Hg As Ru
1 1 2
direct
0.000 0.000 0.000 Hg
0.500 0.000 0.500 As
0.355 0.500 0.715 Ru
0.645 0.500 0.285 Ru
```

The symmetry is No. 10.

***

--- B ---
HgAsRu2: relaxed, PBEsol.

The structure in POSCAR format:
```
HgAsRu2
1.0
1.469 0.848 8.255
-1.469 0.848 8.255
0.000 -1.696 8.255
Hg As Ru
1 1 2
direct
0.000 0.000 0.000 Hg
0.500 0.500 0.500 As
0.239 0.239 0.239 Ru
0.761 0.761 0.761 Ru
```

The symmetry is No. 166.

***

B ends up most stable, edging out the next structure by 0.091 eV/atom.

***

--- A ---
TlHgAsS3: relaxed, PBEsol.

The structure in POSCAR format:
```
TlHgAsS3
1.0
-5.565 5.565 5.211
5.565 -5.565 5.211
5.565 5.565 -5.211
Tl Hg As S
4 4 4 12
direct
0.152 0.152 0.000 Tl
0.250 0.750 0.500 Tl
0.750 0.250 0.500 Tl
0.848 0.848 0.000 Tl
0.224 0.500 0.724 Hg
0.500 0.224 0.724 Hg
0.500 0.776 0.276 Hg
0.776 0.500 0.276 Hg
0.023 0.520 0.000 As
0.480 0.480 0.503 As
0.520 0.023 0.000 As
0.977 0.977 0.497 As
0.028 0.595 0.795 S
0.200 0.405 0.433 S
0.222 0.222 0.748 S
0.233 0.800 0.205 S
0.405 0.200 0.433 S
0.474 0.474 0.252 S
0.526 0.778 0.000 S
0.595 0.028 0.795 S
0.767 0.972 0.567 S
0.778 0.526 0.000 S
0.800 0.233 0.205 S
0.972 0.767 0.567 S
```

The symmetry is No. 121.

***

--- B ---
TlHgAsS3: relaxed, PBEsol.

The structure in POSCAR format:
```
TlHgAsS3
1.0
4.065 -4.519 0.000
4.065 4.519 0.000
0.000 0.000 15.865
Tl Hg As S
4 4 4 12
direct
0.163 0.837 0.951 Tl
0.337 0.663 0.451 Tl
0.663 0.337 0.549 Tl
0.837 0.163 0.049 Tl
0.073 0.427 0.750 Hg
0.427 0.073 0.250 Hg
0.573 0.927 0.750 Hg
0.927 0.573 0.250 Hg
0.075 0.925 0.605 As
0.425 0.575 0.105 As
0.575 0.425 0.895 As
0.925 0.075 0.395 As
0.137 0.863 0.742 S
0.142 0.301 0.604 S
0.199 0.358 0.896 S
0.301 0.142 0.396 S
0.358 0.199 0.104 S
0.363 0.637 0.242 S
0.637 0.363 0.758 S
0.642 0.801 0.896 S
0.699 0.858 0.604 S
0.801 0.642 0.104 S
0.858 0.699 0.396 S
0.863 0.137 0.258 S
```

The symmetry is No. 64.

***

B ends up most stable, edging out the next structure by 0.112 eV/atom.

***

--- A ---
HgSbAs2: relaxed, PBEsol.

The structure in POSCAR format:
```
HgSbAs2
1.0
3.792 0.000 0.000
0.000 3.792 0.000
0.000 0.000 7.020
Hg Sb As
1 1 2
direct
0.000 0.000 0.000 Hg
0.000 0.000 0.500 Sb
0.500 0.500 0.322 As
0.500 0.500 0.678 As
```

The symmetry is No. 123.

***

--- B ---
HgSbAs2: relaxed, PBEsol.

The structure in POSCAR format:
```
HgSbAs2
1.0
2.958 -4.913 0.000
2.958 4.913 0.000
-0.933 0.000 2.962
Hg Sb As
1 1 2
direct
0.000 0.000 0.000 Hg
0.500 0.500 0.000 Sb
0.000 0.500 0.500 As
0.500 0.000 0.500 As
```

The symmetry is No. 12.

***

A ends up most stable, edging out the next structure by 0.053 eV/atom.

***

--- A ---
HgSbAs2: relaxed, PBEsol.

The structure in POSCAR format:
```
HgSbAs2
1.0
-1.855 2.293 5.192
1.855 -2.293 5.192
1.855 2.293 -5.192
Hg Sb As
1 1 2
direct
0.000 0.000 0.000 Hg
0.500 0.500 0.000 Sb
0.279 0.779 0.500 As
0.721 0.221 0.500 As
```

The symmetry is No. 71.

***

--- B ---
HgSbAs2: relaxed, PBEsol.

The structure in POSCAR format:
```
HgSbAs2
1.0
4.907 0.000 0.000
0.000 4.907 0.000
0.000 0.000 3.552
Hg Sb As
1 1 2
direct
0.000 0.000 0.000 Hg
0.500 0.500 0.000 Sb
0.000 0.500 0.500 As
0.500 0.000 0.500 As
```

The symmetry is No. 123.

***

--- C ---
HgSbAs2: relaxed, PBEsol.

The structure in POSCAR format:
```
HgSbAs2
1.0
-3.062 3.062 6.350
3.062 -3.062 6.350
3.062 3.062 -6.350
Hg Sb As
2 2 4
direct
0.000 0.000 0.000 Hg
0.750 0.250 0.500 Hg
0.250 0.750 0.500 Sb
0.500 0.500 0.000 Sb
0.119 0.625 0.994 As
0.375 0.369 0.494 As
0.631 0.125 0.006 As
0.875 0.881 0.506 As
```

The symmetry is No. 122.

***

C ends up most stable, edging out the next structure by 0.068 eV/atom.

***

--- A ---
HgSbAs: relaxed, PBEsol.

The structure in POSCAR format:
```
HgSbAs
1.0
0.000 2.601 7.563
1.787 0.000 7.563
1.787 2.601 0.000
Hg Sb As
1 1 1
direct
0.000 0.000 0.000 Hg
0.687 0.687 0.313 Sb
0.332 0.332 0.668 As
```

The symmetry is No. 42.

***

--- B ---
HgSbAs: relaxed, PBEsol.

The structure in POSCAR format:
```
HgSbAs
1.0
3.960 0.000 0.000
-1.980 3.429 0.000
0.000 0.000 5.498
Hg Sb As
1 1 1
direct
0.000 0.000 0.000 Hg
0.333 0.667 0.619 Sb
0.667 0.333 0.340 As
```

The symmetry is No. 156.

***

B ends up most stable, edging out the next structure by 0.197 eV/atom.

***

--- A ---
ScHgAs2: relaxed, PBEsol.

The structure in POSCAR format:
```
ScHgAs2
1.0
3.633 0.000 0.000
0.000 3.653 0.000
0.000 0.000 6.149
Sc Hg As
1 1 2
direct
0.000 0.000 0.000 Sc
0.000 0.000 0.500 Hg
0.500 0.500 0.201 As
0.500 0.500 0.799 As
```

The symmetry is No. 47.

***

--- B ---
ScHgAs2: relaxed, PBEsol.

The structure in POSCAR format:
```
ScHgAs2
1.0
-3.705 3.705 3.025
3.705 -3.705 3.025
3.705 3.705 -3.025
Sc Hg As
2 2 4
direct
0.000 0.000 0.000 Sc
0.750 0.250 0.500 Sc
0.250 0.750 0.500 Hg
0.500 0.500 0.000 Hg
0.126 0.125 0.501 As
0.375 0.874 0.999 As
0.624 0.625 0.499 As
0.875 0.376 0.001 As
```

The symmetry is No. 122.

***

A ends up most stable, edging out the next structure by 0.243 eV/atom.

***

--- A ---
HgAs2Se: relaxed, PBEsol.

The structure in POSCAR format:
```
HgAs2Se
1.0
1.670 -2.608 0.000
1.670 2.608 0.000
0.000 0.000 9.303
Hg As Se
1 2 1
direct
0.000 0.000 0.000 Hg
0.500 0.500 0.275 As
0.500 0.500 0.725 As
0.000 0.000 0.500 Se
```

The symmetry is No. 65.

***

--- B ---
HgAs2Se: relaxed, PBEsol.

The structure in POSCAR format:
```
HgAs2Se
1.0
1.932 1.115 6.558
-1.932 1.115 6.558
0.000 -2.230 6.558
Hg As Se
1 2 1
direct
0.000 0.000 0.000 Hg
0.248 0.248 0.248 As
0.752 0.752 0.752 As
0.500 0.500 0.500 Se
```

The symmetry is No. 166.

***

--- C ---
HgAs2Se: relaxed, PBEsol.

The structure in POSCAR format:
```
HgAs2Se
1.0
-1.819 2.008 5.903
1.819 -2.008 5.903
1.819 2.008 -5.903
Hg As Se
1 2 1
direct
0.000 0.000 0.000 Hg
0.583 0.583 0.000 As
0.741 0.241 0.500 As
0.312 0.812 0.500 Se
```

The symmetry is No. 44.

***

--- D ---
HgAs2Se: relaxed, PBEsol.

The structure in POSCAR format:
```
HgAs2Se
1.0
3.617 0.000 0.000
0.000 3.617 0.000
0.000 0.000 6.879
Hg As Se
1 2 1
direct
0.000 0.000 0.000 Hg
0.500 0.500 0.321 As
0.500 0.500 0.679 As
0.000 0.000 0.500 Se
```

The symmetry is No. 123.

***

B ends up most stable, edging out the next structure by 0.038 eV/atom.